Density functional theory data (PBE-GGA) for an optimized crystal structure of ZrAl2BPb.

a b c (Å): 5.2930 4.5000 5.2930
angles (deg): 90.00 90.00 90.00
Sites, in units of the cell vectors:
Al 0.5000 0.0000 0.0000
Zr 0.0000 0.0000 0.0000
Al 0.0000 0.0000 0.5000
B 0.0000 0.5000 0.0000
Pb 0.5000 0.5000 0.5000

Properties
Space-group type ... No. 123
Crystal system ... tetragonal
Energy relative to the elements ... 0.970 eV/atom
Magnetization ... 0.000 μB/cell
Volume ... 25.2 A^3/atom
Excess energy over the best structure of this formula in the dataset ... 526 meV/atom

---

Density functional theory data (PBE-GGA) for an optimized crystal structure of La6GeRh2Br3.

a b c (Å): 7.4283 7.4283 8.1100
angles (deg): 98.81 98.81 119.95
Sites, in units of the cell vectors:
Rh 0.3329 0.6671 0.0000
La 0.4142 0.0670 0.2041
La 0.5858 0.9330 0.7959
La 0.2795 0.2795 0.7963
Br 0.1617 0.8383 0.5000
Br 0.8383 0.1617 0.5000
Rh 0.6671 0.3329 0.0000
La 0.7205 0.7205 0.2037
La 0.9330 0.5858 0.7959
Br 0.5000 0.5000 0.5000
Ge 0.0000 0.0000 0.0000
La 0.0670 0.4142 0.2041

Properties
Space-group type ... No. 12
Crystal system ... monoclinic
Raw formation energy ... -1139 meV per atom
Magnetization ... 0.004 μB/cell
Volume ... 30.8 A^3/atom

---

Density functional theory data (PBE-GGA) for an optimized crystal structure of Mg6InPb2.

a b c (Å): 5.5649 9.6270 9.6269
angles (deg): 120.79 89.05 89.05
Sites, in units of the cell vectors:
Mg 0.2539 0.9179 0.4178
Mg 0.0034 0.5017 0.6668
Mg 0.5034 0.6668 0.5017
Mg 0.7539 0.4178 0.9179
Mg 0.4966 0.3332 0.4983
Mg 0.9968 0.8331 0.9984
Pb 0.0000 0.8383 0.6617
Mg 0.4968 0.9984 0.8331
Mg 0.7461 0.0821 0.5822
Mg 0.2461 0.5822 0.0821
In 0.2500 0.2500 0.7500
In 0.7500 0.7500 0.2500
Pb 0.0000 0.1617 0.3383
Pb 0.5000 0.3383 0.1617
Mg 0.9966 0.4983 0.3332
Mg 0.0032 0.1669 0.0016
Mg 0.5032 0.0016 0.1669
Pb 0.5000 0.6617 0.8383

Properties
Space-group type ... No. 12
Crystal system ... monoclinic
Energy relative to the elements ... -0.034 eV/atom
Magnetization ... 0.000 μB/cell
Volume ... 24.6 A^3/atom
Excess energy over the best structure of this formula in the dataset ... 16 meV/atom

---

Density functional theory data (PBE-GGA) for an optimized crystal structure of Li5Tl4Pb.

a b c (Å): 3.5291 3.5291 17.1162
angles (deg): 90.00 90.00 90.00
Sites, in units of the cell vectors:
Tl 0.0000 0.0000 0.7962
Pb 0.0000 0.0000 0.0000
Li 0.5000 0.5000 0.3028
Li 0.5000 0.5000 0.8959
Li 0.5000 0.5000 0.1041
Tl 0.0000 0.0000 0.4017
Tl 0.0000 0.0000 0.5983
Li 0.5000 0.5000 0.5000
Tl 0.0000 0.0000 0.2038
Li 0.5000 0.5000 0.6972

Properties
Space-group type ... No. 123
Crystal system ... tetragonal
Energy relative to the elements ... -0.231 eV/atom
Magnetization ... 0.000 μB/cell
Volume ... 21.3 A^3/atom

---

Density functional theory data (PBE-GGA) for an optimized crystal structure of MgHgBi2.

a b c (Å): 5.3957 5.3957 5.3957
angles (deg): 60.00 60.00 60.00
Sites, in units of the cell vectors:
Mg 0.0000 0.0000 0.0000
Bi 0.2500 0.2500 0.2500
Bi 0.7500 0.7500 0.7500
Hg 0.5000 0.5000 0.5000

Properties
Space-group type ... No. 225
Crystal system ... cubic
Energy relative to the elements ... 0.083 eV/atom
Magnetization ... 0.000 μB/cell
Volume ... 27.8 A^3/atom
Excess energy over the best structure of this formula in the dataset ... 118 meV/atom

---

Density functional theory data (PBE-GGA) for an optimized crystal structure of Nd3In3Hg2.

a b c (Å): 4.8292 6.2456 15.9522
angles (deg): 90.00 90.00 112.74
Sites, in units of the cell vectors:
In 0.6141 0.2281 0.4602
Nd 0.6543 0.3086 0.2500
Hg 0.2096 0.4192 0.3926
Nd 0.3457 0.6914 0.7500
Hg 0.7904 0.5808 0.8926
In 0.3859 0.7719 0.9602
Hg 0.2096 0.4192 0.1074
In 0.3859 0.7719 0.5398
Nd 0.9156 0.8312 0.1104
Hg 0.7904 0.5808 0.6074
In 0.6141 0.2281 0.0398
Nd 0.9156 0.8312 0.3896
In 0.3722 0.7444 0.2500
Nd 0.0844 0.1688 0.8896
Nd 0.0844 0.1688 0.6104
In 0.6278 0.2556 0.7500

Properties
Space-group type ... No. 63
Crystal system ... orthorhombic
Energy relative to the elements ... -0.463 eV/atom
Magnetization ... 0.012 μB/cell
Volume ... 27.7 A^3/atom
Excess energy over the best structure of this formula in the dataset ... 0 meV/atom

---

Density functional theory data (PBE-GGA) for an optimized crystal structure of SrTb2Fe.

a b c (Å): 3.8157 3.8157 10.9046
angles (deg): 79.92 79.92 60.00
Sites, in units of the cell vectors:
Tb 0.8816 0.8816 0.3552
Tb 0.1184 0.1184 0.6448
Sr 0.0000 0.0000 0.0000
Fe 0.5000 0.5000 0.5000

Properties
Space-group type ... No. 166
Crystal system ... trigonal
Energy relative to the elements ... 0.315 eV/atom
Magnetization ... 0.547 μB/cell
Volume ... 33.7 A^3/atom

---

Density functional theory data (PBE-GGA) for an optimized crystal structure of Pu8MnRu5.

a b c (Å): 7.2289 7.2289 7.2289
angles (deg): 109.91 108.59 109.91
Sites, in units of the cell vectors:
Pu 0.6409 0.8757 0.8715
Pu 0.4451 0.6077 0.2240
Ru 0.7632 0.6173 0.5575
Pu 0.1285 0.7694 0.0042
Pu 0.9958 0.1243 0.7653
Pu 0.7760 0.2211 0.3837
Pu 0.6163 0.3923 0.8374
Pu 0.2347 0.2306 0.3591
Ru 0.9402 0.3827 0.1459
Ru 0.4425 0.2057 0.0598
Ru 0.8541 0.7943 0.2368
Mn 0.2500 0.5000 0.7500
Pu 0.1626 0.7789 0.5549
Ru 0.5000 0.0000 0.5000

Properties
Space-group type ... No. 82
Crystal system ... tetragonal
Energy relative to the elements ... -0.025 eV/atom
Magnetization ... 36.264 μB/cell
Volume ... 20.8 A^3/atom

---

Density functional theory data (PBE-GGA) for an optimized crystal structure of Th4TcSn.

a b c (Å): 6.1875 7.4424 7.4424
angles (deg): 90.00 90.00 90.00
Sites, in units of the cell vectors:
Tc 0.2500 0.5000 0.5000
Th 0.0000 0.8190 0.3578
Sn 0.7500 0.0000 0.0000
Th 0.5000 0.3578 0.8190
Th 0.5000 0.1810 0.3578
Th 0.0000 0.1810 0.6422
Tc 0.7500 0.5000 0.5000
Th 0.5000 0.8190 0.6422
Th 0.0000 0.3578 0.1810
Sn 0.2500 0.0000 0.0000
Th 0.0000 0.6422 0.8190
Th 0.5000 0.6422 0.1810

Properties
Space-group type ... No. 124
Crystal system ... tetragonal
Energy relative to the elements ... -0.284 eV/atom
Magnetization ... 0.000 μB/cell
Volume ... 28.6 A^3/atom
Excess energy over the best structure of this formula in the dataset ... 0 meV/atom

---

Density functional theory data (PBE-GGA) for an optimized crystal structure of Pr2Al3GePd4.

a b c (Å): 4.3678 4.3678 10.2311
angles (deg): 90.00 90.00 90.00
Sites, in units of the cell vectors:
Al 0.0000 0.5000 0.1248
Pd 0.5000 0.0000 0.6300
Pr 0.5000 0.0000 0.2545
Pd 0.0000 0.5000 0.3700
Pr 0.0000 0.5000 0.7455
Pd 0.0000 0.0000 0.0000
Pd 0.5000 0.5000 0.0000
Al 0.5000 0.0000 0.8752
Al 0.0000 0.0000 0.5000
Ge 0.5000 0.5000 0.5000

Properties
Space-group type ... No. 115
Crystal system ... tetragonal
Energy relative to the elements ... -0.845 eV/atom
Magnetization ... 0.000 μB/cell
Volume ... 19.5 A^3/atom